[1]
Material: InTeW2
Method: DFT, SCAN
State: PBEsol geometry

POSCAR file:
```
InTeW2
1.0
4.571 -1.548 0.000
4.571 1.548 0.000
-0.921 0.000 5.156
In Te W
1 1 2
Cartesian
0.000 0.000 0.000 In
4.110 0.000 2.578 Te
1.610 0.000 3.838 W
6.611 0.000 1.318 W
```

Computed properties:
D(E_F): 3.218 states/eV/f.u.
calculated total energy: -206.3 eV per cell
energy relative to the elements, uncorrected: 0.930 eV/atom
offset from the most stable computed form: 0.0000 eV/atom
space-group type: No. 12

---

[2]
Material: InTeW
Method: DFT, SCAN
State: PBEsol geometry

POSCAR file:
```
InTeW
1.0
0.000 3.365 3.365
3.365 0.000 3.365
3.365 3.365 0.000
In Te W
1 1 1
Cartesian
0.000 0.000 0.000 In
1.682 1.682 1.682 Te
5.047 5.047 5.047 W
```

Computed properties:
D(E_F): 2.618 states/eV/f.u.
calculated total energy: -135.3 eV per cell
energy relative to the elements, uncorrected: 1.668 eV/atom
space-group type: No. 216

---

[3]
Material: In2TeW
Method: DFT, SCAN
State: PBEsol geometry

POSCAR file:
```
In2TeW
1.0
-2.088 2.088 4.799
2.088 -2.088 4.799
2.088 2.088 -4.799
In Te W
2 1 1
Cartesian
2.088 0.000 2.399 In
0.000 2.088 2.399 In
0.000 0.000 0.000 Te
0.000 0.000 4.799 W
```

Computed properties:
D(E_F): 2.613 states/eV/f.u.
calculated total energy: -170.1 eV per cell
energy relative to the elements, uncorrected: 0.897 eV/atom
space-group type: No. 139

---

[4]
Material: InTeW2
Method: DFT, SCAN
State: PBEsol geometry

POSCAR file:
```
InTeW2
1.0
3.340 0.000 0.000
0.000 4.605 0.000
0.000 0.000 4.833
In Te W
1 1 2
Cartesian
0.000 0.000 0.000 In
1.670 0.000 2.416 Te
0.000 2.302 2.416 W
1.670 2.302 0.000 W
```

Computed properties:
D(E_F): 2.924 states/eV/f.u.
calculated total energy: -205.7 eV per cell
energy relative to the elements, uncorrected: 1.091 eV/atom
offset from the most stable computed form: 0.1603 eV/atom
space-group type: No. 47

---

[5]
Material: InTeW2
Method: DFT, SCAN
State: PBEsol geometry

POSCAR file:
```
InTeW2
1.0
-2.134 2.134 4.037
2.134 -2.134 4.037
2.134 2.134 -4.037
In Te W
1 1 2
Cartesian
0.000 0.000 0.000 In
0.000 2.134 2.018 Te
2.134 0.000 2.018 W
0.000 0.000 4.037 W
```

Computed properties:
D(E_F): 3.926 states/eV/f.u.
calculated total energy: -206.0 eV per cell
energy relative to the elements, uncorrected: 1.015 eV/atom
offset from the most stable computed form: 0.0849 eV/atom
space-group type: No. 119

---

[6]
Material: InTeW2
Method: DFT, SCAN
State: PBEsol geometry

POSCAR file:
```
InTeW2
1.0
2.920 0.000 0.000
0.000 4.625 0.000
-0.033 0.000 5.752
In Te W
1 1 2
Cartesian
0.000 0.000 0.000 In
1.444 0.000 2.876 Te
1.104 2.313 1.206 W
1.784 2.313 4.546 W
```

Computed properties:
D(E_F): 3.055 states/eV/f.u.
calculated total energy: -206.1 eV per cell
energy relative to the elements, uncorrected: 0.982 eV/atom
offset from the most stable computed form: 0.0517 eV/atom
space-group type: No. 10

---

[7]
Material: YInTe2
Method: DFT, SCAN
State: PBEsol geometry

POSCAR file:
```
YInTe2
1.0
-2.229 2.229 5.398
2.229 -2.229 5.398
2.229 2.229 -5.398
Y In Te
1 1 2
Cartesian
0.000 0.000 0.000 Y
0.000 2.229 2.699 In
2.229 0.000 2.699 Te
0.000 0.000 5.398 Te
```

Computed properties:
D(E_F): 0.807 states/eV/f.u.
calculated total energy: -138.6 eV per cell
energy relative to the elements, uncorrected: -0.723 eV/atom
space-group type: No. 119

---

[8]
Material: YIn3Te
Method: DFT, SCAN
State: PBEsol geometry

POSCAR file:
```
YIn3Te
1.0
5.521 0.000 0.000
0.000 5.521 0.000
0.000 0.000 5.521
Y In Te
1 3 1
Cartesian
0.000 0.000 0.000 Y
0.000 2.761 2.761 In
2.761 0.000 2.761 In
2.761 2.761 0.000 In
2.761 2.761 2.761 Te
```

Computed properties:
D(E_F): 2.901 states/eV/f.u.
calculated total energy: -162.7 eV per cell
energy relative to the elements, uncorrected: 0.505 eV/atom
space-group type: No. 221

---

[9]
Material: YInTe2
Method: DFT, SCAN
State: PBEsol geometry

POSCAR file:
```
YInTe2
1.0
-1.951 2.084 8.005
1.951 -2.084 8.005
1.951 2.084 -8.005
Y In Te
1 1 2
Cartesian
0.000 0.000 0.000 Y
1.951 0.000 4.171 In
0.000 0.000 9.191 Te
0.000 2.084 5.703 Te
```

Computed properties:
D(E_F): 0.011 states/eV/f.u.
calculated total energy: -139.5 eV per cell
energy relative to the elements, uncorrected: -0.937 eV/atom
space-group type: No. 44

---

[10]
Material: YInTe2
Method: DFT, SCAN
State: PBEsol geometry

POSCAR file:
```
YInTe2
1.0
4.497 0.000 0.000
0.000 2.110 5.820
0.000 -2.110 5.820
Y In Te
1 1 2
Cartesian
0.000 0.000 0.000 Y
2.248 0.000 9.443 In
0.000 0.000 3.382 Te
2.248 0.000 6.605 Te
```

Computed properties:
D(E_F): 0.152 states/eV/f.u.
calculated total energy: -139.9 eV per cell
energy relative to the elements, uncorrected: -1.044 eV/atom
space-group type: No. 38

---

[11]
Material: Zn2InTe
Method: DFT, SCAN
State: PBEsol geometry

POSCAR file:
```
Zn2InTe
1.0
1.966 1.135 6.699
-1.966 1.135 6.699
0.000 -2.270 6.699
Zn In Te
2 1 1
Cartesian
0.000 0.000 4.953 Zn
0.000 0.000 15.144 Zn
0.000 0.000 0.000 In
0.000 0.000 10.049 Te
```

Computed properties:
D(E_F): 1.449 states/eV/f.u.
calculated total energy: -97.6 eV per cell
energy relative to the elements, uncorrected: 0.027 eV/atom
offset from the most stable computed form: 0.0000 eV/atom
space-group type: No. 166

---

[12]
Material: ZnIn2Te
Method: DFT, SCAN
State: PBEsol geometry

POSCAR file:
```
ZnIn2Te
1.0
-2.239 2.239 4.969
2.239 -2.239 4.969
2.239 2.239 -4.969
Zn In Te
1 2 1
Cartesian
0.000 0.000 0.000 Zn
0.000 0.000 4.969 In
0.000 2.239 2.485 In
2.239 0.000 2.485 Te
```

Computed properties:
D(E_F): 1.928 states/eV/f.u.
calculated total energy: -116.9 eV per cell
energy relative to the elements, uncorrected: 0.170 eV/atom
space-group type: No. 119

---

Look up the calculated total energy of the fifth one.
-206.0 eV per cell

---

Look up the D(E_F) of the eleventh one.
1.449 states/eV/f.u.